[1]
{
  "formula": "HoCuPd",
  "functional": "GGA-PBE",
  "state": "relaxed",
  "lattice_angstrom": [[-0.9188, -2.3424, 3.3967], [3.5832, -4.2292, 0.6831], [3.0953, 1.4454, 4.4644]],
  "species": ["Pd", "Cu", "Cu", "Pd", "Ho", "Ho"],
  "frac_coords": [[0.1694, 0.3806, 0.2806], [0.1504, 0.8014, 0.8977], [0.8496, 0.1986, 0.1023], [0.8306, 0.6194, 0.7194], [0.5476, 0.2047, 0.7002], [0.4524, 0.7953, 0.2998]],
  "space_group": "C2/m",
  "formation_energy_ev_per_fu": -1.81,
  "de_polymorph_mev_per_atom": 11
}

[2]
{
  "formula": "BaYBiSb2",
  "functional": "GGA-PBE",
  "state": "relaxed",
  "lattice_angstrom": [[-2.2901, 4.5618, -3.0081], [-3.6628, -3.9140, -3.1471], [-4.2037, 0.6131, 4.1300]],
  "species": ["Sb", "Sb", "Y", "Ba", "Bi"],
  "frac_coords": [[0.5000, 0.0000, 0.0000], [0.0000, 0.0000, 0.5000], [0.5000, 0.5000, 0.5000], [0.0000, 0.5000, 0.0000], [0.0000, 0.0000, 0.0000]],
  "space_group": "P4/mmm",
  "formation_energy_uncorrected_mev_per_atom": 434
}

[3]
{
  "formula": "RbAgSn2",
  "functional": "GGA-PBE",
  "state": "relaxed",
  "lattice_angstrom": [[5.7133, 0.0000, 0.0000], [0.0000, 5.7133, 0.0000], [2.8566, 2.8566, 9.7797]],
  "species": ["Rb", "Rb", "Sn", "Sn", "Ag", "Sn", "Sn", "Ag"],
  "frac_coords": [[0.2500, 0.7500, 0.5000], [0.5000, 0.5000, 0.0000], [0.8487, 0.1250, 0.2500], [0.3750, 0.1513, 0.7500], [0.0000, 0.0000, 0.0000], [0.8750, 0.0987, 0.7500], [0.9013, 0.6250, 0.2500], [0.7500, 0.2500, 0.5000]],
  "space_group": "I-42d",
  "formation_energy_ev_per_fu": 0.25,
  "de_polymorph_mev_per_atom": 221
}

[4]
{
  "formula": "PPb6Se3Br2",
  "functional": "GGA-PBE",
  "state": "relaxed",
  "lattice_angstrom": [[7.7488, 0.0714, 0.0312], [-3.8106, 6.7474, 0.0312], [-1.2880, -2.2301, 7.0433]],
  "species": ["Br", "Se", "Pb", "Pb", "Br", "Pb", "Se", "Se", "Pb", "P", "Pb", "Pb"],
  "frac_coords": [[0.3343, 0.6657, 0.0000], [0.1672, 0.8328, 0.5000], [0.2158, 0.2158, 0.7432], [0.3807, 0.0850, 0.2544], [0.6657, 0.3343, 0.0000], [0.6193, 0.9150, 0.7456], [0.5000, 0.5000, 0.5000], [0.8328, 0.1672, 0.5000], [0.9150, 0.6193, 0.7456], [0.0000, 0.0000, 0.0000], [0.0850, 0.3807, 0.2544], [0.7842, 0.7842, 0.2568]],
  "space_group": "C2/m",
  "formation_energy_uncorrected_mev_per_atom": -453
}

[5]
{
  "formula": "Er5Co2Hg",
  "functional": "GGA-PBE",
  "state": "relaxed",
  "lattice_angstrom": [[-2.0548, 5.5102, -4.6856], [-2.9179, -5.0885, -4.7045], [-3.3189, 0.2564, 7.7903]],
  "species": ["Er", "Er", "Co", "Er", "Co", "Er", "Er", "Co", "Co", "Er", "Er", "Hg", "Hg", "Er", "Er", "Er"],
  "frac_coords": [[0.4720, 0.2937, 0.2657], [0.0280, 0.5280, 0.7343], [0.3641, 0.8641, 0.0000], [0.5000, 0.5000, 0.0000], [0.6359, 0.1359, 0.0000], [0.9720, 0.4720, 0.2657], [0.2937, 0.7937, 0.2657], [0.1359, 0.3641, 0.0000], [0.8641, 0.6359, 0.0000], [0.2063, 0.0280, 0.7343], [0.7063, 0.2063, 0.7343], [0.7500, 0.7500, 0.5000], [0.2500, 0.2500, 0.5000], [0.7937, 0.9720, 0.2657], [0.0000, 0.0000, 0.0000], [0.5280, 0.7063, 0.7343]],
  "space_group": "I4/mcm",
  "formation_energy_ev_per_fu": -2.42
}

[6]
{
  "formula": "HfCr2I",
  "functional": "GGA-PBE",
  "state": "relaxed",
  "lattice_angstrom": [[-3.2445, 1.2993, 2.0985], [0.7559, -2.7764, 2.8877], [3.9634, 5.2179, 6.8569]],
  "species": ["Hf", "Cr", "I", "Hf", "Cr", "I", "Cr", "Cr"],
  "frac_coords": [[0.0000, 0.0000, 0.0000], [0.3750, 0.4626, 0.7500], [0.5000, 0.5000, 0.0000], [0.7500, 0.2500, 0.5000], [0.8750, 0.7874, 0.7500], [0.2500, 0.7500, 0.5000], [0.2126, 0.6250, 0.2500], [0.5374, 0.1250, 0.2500]],
  "space_group": "I-42d",
  "formation_energy_uncorrected_mev_per_atom": 1085,
  "de_polymorph_mev_per_atom": 277
}

[7]
{
  "formula": "Ac3In2Sn7",
  "functional": "GGA-PBE",
  "state": "relaxed",
  "lattice_angstrom": [[6.1562, 0.0000, 1.4436], [2.9088, 5.4256, 1.4436], [0.6002, 0.3592, 11.2888]],
  "species": ["In", "Sn", "In", "Sn", "Ac", "Sn", "Sn", "Sn", "Ac", "Ac", "Sn", "Sn"],
  "frac_coords": [[0.6665, 0.6665, 0.0005], [0.5861, 0.5861, 0.7453], [0.3335, 0.3335, 0.9995], [0.4139, 0.9174, 0.2547], [0.0000, 0.0000, 0.0000], [0.4139, 0.4139, 0.2547], [0.0826, 0.5861, 0.7453], [0.5861, 0.0826, 0.7453], [0.8585, 0.8585, 0.4244], [0.1415, 0.1415, 0.5756], [0.5000, 0.5000, 0.5000], [0.9174, 0.4139, 0.2547]],
  "space_group": "R-3m",
  "formation_energy_ev_per_fu": -3.65
}

[8]
{
  "formula": "Ta3InO",
  "functional": "GGA-PBE",
  "state": "relaxed",
  "lattice_angstrom": [[4.3139, 0.0000, 0.0000], [0.0000, 4.3139, 0.0000], [0.0000, 0.0000, 4.3139]],
  "species": ["Ta", "In", "Ta", "Ta", "O"],
  "frac_coords": [[0.0000, 0.5000, 0.0000], [0.5000, 0.5000, 0.5000], [0.0000, 0.0000, 0.5000], [0.5000, 0.0000, 0.0000], [0.0000, 0.0000, 0.0000]],
  "space_group": "Pm-3m",
  "formation_energy_uncorrected_mev_per_atom": -423,
  "de_polymorph_mev_per_atom": 0
}

VASP energy values (in eV per atom) by entry order: -5.23; -3.67; -2.89; -3.91; -4.97; -6.60; -4.12; -9.07.